! TeSI (PBE, relaxed); values from VASP
&SYSTEM
  ibrav = 0, nat = 3, ntyp = 3
/
ATOMIC_SPECIES
Te 127.60 Te.upf
S 32.06 S.upf
I 126.90 I.upf
ATOMIC_POSITIONS crystal
Te 0.0000 0.0000 0.0000
S 0.6667 0.3333 0.1611
I 0.3333 0.6667 0.6839
CELL_PARAMETERS angstrom
4.2984 0.0000 0.0000
-2.1492 3.7225 0.0000
0.0000 0.0000 6.5543
! raw formation energy = 173 meV per atom
! symmetry = P3m1
! E_tot = -2.77 eV/atom
! ΔE to the lowest computed polymorph = 0.160 eV per atom

! Ac3Ge2Rh (PBE, relaxed); values from VASP
&SYSTEM
  ibrav = 0, nat = 12, ntyp = 3
/
ATOMIC_SPECIES
Ac 227.00 Ac.upf
Ge 72.64 Ge.upf
Rh 102.91 Rh.upf
ATOMIC_POSITIONS crystal
Ac 0.9995 0.0005 0.2500
Ac 0.0005 0.9995 0.7500
Ac 0.3489 0.3491 0.4242
Ac 0.3491 0.3489 0.9242
Ac 0.6509 0.6511 0.0758
Ac 0.6511 0.6509 0.5758
Ge 0.1733 0.1736 0.0861
Ge 0.1736 0.1733 0.5861
Ge 0.8264 0.8267 0.4139
Ge 0.8267 0.8264 0.9139
Rh 0.4996 0.5004 0.2500
Rh 0.5004 0.4996 0.7500
CELL_PARAMETERS angstrom
7.2190 -3.1718 0.0000
7.2190 3.1718 0.0000
-2.6934 0.0000 8.4047
! symmetry = C2/c
! E_tot = -5.33 eV/atom
! ΔE to the lowest computed polymorph = 0.246 eV per atom

! MnTl2Fe (PBE, relaxed); values from VASP
&SYSTEM
  ibrav = 0, nat = 4, ntyp = 3
/
ATOMIC_SPECIES
Mn 54.94 Mn.upf
Tl 204.38 Tl.upf
Fe 55.84 Fe.upf
ATOMIC_POSITIONS crystal
Mn 0.0000 0.0000 0.0000
Tl 0.0000 0.0000 0.6102
Tl 0.5000 0.5000 0.2509
Fe 0.5000 0.5000 0.8494
CELL_PARAMETERS angstrom
3.2685 0.0000 0.0000
0.0000 3.2685 0.0000
0.0000 0.0000 7.5275
! symmetry = P4mm
! E_tot = -5.11 eV/atom
! ΔE to the lowest computed polymorph = 0.000 eV per atom